No. 1
Compound: UO2F4
Source: Alexandria
Functional: PBE
Structure: relaxed

Crystal system ... triclinic
Size of the total moment ... 4.0 μB/f.u.
VASP energy ... -46.27 eV/cell

Cell and atoms, written as POSCAR:
```
UO2F4
1.0
3.836 0.001 -0.654
-0.165 3.763 -0.963
-0.715 0.182 8.307
O U F
2 1 4
direct
0.889 0.612 0.503
0.111 0.388 0.497
0.000 0.000 0.000
0.416 0.930 0.844
0.086 0.573 0.156
0.584 0.070 0.156
0.914 0.427 0.844
```

***

No. 2
Compound: U2O4F
Source: Alexandria
Functional: PBE
Structure: relaxed

Crystal system ... trigonal
Size of the total moment ... 3.0 μB/f.u.
VASP energy ... -67.36 eV/cell

Cell and atoms, written as POSCAR:
```
U2O4F
1.0
0.438 -1.476 3.449
3.069 -2.051 0.800
4.874 5.258 3.699
F O U
1 4 2
direct
0.000 0.000 0.000
0.408 0.408 0.777
0.801 0.801 0.596
0.592 0.592 0.223
0.199 0.199 0.404
0.098 0.098 0.705
0.902 0.902 0.295
```

***

No. 3
Compound: UO3F
Source: Alexandria
Functional: PBE
Structure: relaxed

Crystal system ... cubic
Size of the total moment ... 0.8 μB/f.u.
VASP energy ... -39.79 eV/cell

Cell and atoms, written as POSCAR:
```
UO3F
1.0
4.142 0.000 0.000
0.000 4.142 0.000
0.000 0.000 4.142
F U O
1 1 3
direct
0.500 0.500 0.500
0.000 0.000 0.000
0.500 0.000 0.000
0.000 0.500 0.000
0.000 0.000 0.500
```